[1]
Density functional theory data (PBE) for a geometry-optimized BaPb2O structure.

The structure in POSCAR format:
```
BaPb2O
1.0
-2.9879 2.9879 8.0467
2.9879 -2.9879 8.0467
2.9879 2.9879 -8.0467
Ba Pb O
2 4 2
Cartesian
2.9879 1.4940 2.0117
0.0000 1.4940 6.0350
0.0000 0.0000 0.0000
1.4940 1.4940 -4.0233
1.4940 -1.4940 4.0233
0.0000 2.9879 0.0000
2.9879 -1.4940 6.0350
0.0000 4.4819 2.0117
```

As for the raw formation energy: -37.4 kJ/mol of atoms.

***

[2]
Density functional theory data (PBE) for a geometry-optimized BaPbO2 structure.

The structure in POSCAR format:
```
BaPbO2
1.0
6.5392 0.0000 0.0000
0.0000 4.0584 0.0000
-0.0607 0.0000 7.9612
Ba Pb O
2 2 4
Cartesian
1.6041 1.0146 3.1071
4.8744 3.0438 4.8540
1.6070 1.0146 6.8465
4.8715 3.0438 1.1147
0.0638 1.0146 5.4057
3.1478 1.0146 5.4025
3.3307 3.0438 2.5587
6.4147 3.0438 2.5555
```

As for the raw formation energy: -171.9 kJ/mol of atoms.

***

[3]
Density functional theory data (PBE) for a geometry-optimized Ba12Pb3O5 structure.

The structure in POSCAR format:
```
Ba12Pb3O5
1.0
-9.0405 9.0405 9.0405
9.0405 -9.0405 9.0405
9.0405 9.0405 -9.0405
Ba Pb O
48 12 20
Cartesian
2.6975 -0.6365 0.8713
10.8632 5.3915 -5.1567
11.7379 0.6365 0.8713
10.8632 -3.6490 5.1567
8.4040 -0.8713 2.6975
14.1972 -1.8228 3.6490
0.8713 2.6975 -0.6365
12.6894 3.8837 -1.8228
5.3915 5.1567 -1.8228
8.1692 2.6975 0.6365
-0.6365 0.8713 2.6975
5.1567 -1.8228 5.3915
8.4040 8.1692 -2.6975
5.1567 1.8228 3.6490
5.3915 -5.1567 10.8632
8.1692 -2.6975 8.4040
3.6490 5.1567 1.8228
9.9117 6.3430 0.6365
5.1567 10.8632 -3.6490
8.4040 0.8713 6.3430
2.6975 8.4040 -0.8713
10.8632 3.6490 3.8837
1.8228 3.6490 5.1567
2.6975 0.6365 8.1692
6.3430 8.4040 0.8713
7.2177 5.3915 3.8837
-1.8228 5.3915 5.1567
6.3430 0.6365 9.9117
0.6365 8.1692 2.6975
3.8837 -1.8228 12.6894
-0.8713 2.6975 8.4040
5.3915 3.8837 7.2177
0.8713 11.7379 0.6365
3.6490 14.1972 -1.8228
3.8837 7.2177 5.3915
0.6365 0.8713 11.7379
3.8837 10.8632 3.6490
9.6770 8.1692 6.3430
0.8713 6.3430 8.4040
3.6490 3.8837 10.8632
-3.6490 5.1567 10.8632
8.1692 6.3430 9.6770
-5.1567 10.8632 5.3915
0.6365 9.9117 6.3430
-1.8228 12.6894 3.8837
-2.6975 8.4040 8.1692
-1.8228 3.6490 14.1972
6.3430 9.6770 8.1692
4.5202 2.2601 0.0000
9.0405 4.5202 -2.2601
2.2601 0.0000 4.5202
11.3006 0.0000 4.5202
0.0000 4.5202 2.2601
4.5202 -2.2601 9.0405
4.5202 11.3006 0.0000
9.0405 4.5202 6.7804
-2.2601 9.0405 4.5202
6.7804 9.0405 4.5202
0.0000 4.5202 11.3006
4.5202 6.7804 9.0405
0.0000 0.0000 0.0000
4.5202 4.5202 -4.5202
4.5202 -4.5202 4.5202
9.0405 0.0000 0.0000
13.5607 2.2601 0.0000
9.0405 -4.5202 6.7804
6.7804 9.0405 -4.5202
6.7804 0.0000 4.5202
4.5202 6.7804 0.0000
9.0405 4.5202 2.2601
-4.5202 4.5202 4.5202
0.0000 9.0405 0.0000
0.0000 0.0000 9.0405
4.5202 4.5202 4.5202
0.0000 4.5202 6.7804
4.5202 2.2601 9.0405
2.2601 9.0405 4.5202
2.2601 0.0000 13.5607
0.0000 13.5607 2.2601
-4.5202 6.7804 9.0405
```

As for the raw formation energy: -134.6 kJ/mol of atoms.

***

[4]
Density functional theory data (PBE) for a geometry-optimized Ba2PbO3 structure.

The structure in POSCAR format:
```
Ba2PbO3
1.0
-1.8972 2.2665 7.2769
1.8972 -2.2665 7.2769
1.8972 2.2665 -7.2769
Ba Pb O
2 1 3
Cartesian
0.0000 0.0000 2.2373
0.0000 0.0000 12.3164
0.0000 0.0000 7.2769
1.8972 0.0000 0.0000
0.0000 0.0000 4.8313
0.0000 0.0000 9.7224
```

As for the raw formation energy: -184.7 kJ/mol of atoms. The value obtained for the energy relative to the lowest polymorph listed for this composition is 0.735 eV per formula unit.

***

[5]
Density functional theory data (PBE) for a geometry-optimized Ba4Pb2O structure.

The structure in POSCAR format:
```
Ba4Pb2O
1.0
-2.7724 2.7724 8.8605
2.7724 -2.7724 8.8605
2.7724 2.7724 -8.8605
Ba Pb O
4 2 1
Cartesian
2.7724 0.0000 0.0000
0.0000 0.0000 2.9432
0.0000 2.7724 0.0000
0.0000 0.0000 14.7777
0.0000 0.0000 6.5303
0.0000 0.0000 11.1906
0.0000 0.0000 0.0000
```

As for the raw formation energy: -99.6 kJ/mol of atoms. The value obtained for the energy relative to the lowest polymorph listed for this composition is 0.290 eV per formula unit.

***

[6]
Density functional theory data (PBE) for a geometry-optimized Ba4PbO structure.

The structure in POSCAR format:
```
Ba4PbO
1.0
6.1032 0.0000 0.0000
0.0000 11.0715 0.0000
-0.2653 0.0000 7.9154
Ba Pb O
8 2 2
Cartesian
1.3301 2.7679 3.1988
1.3952 8.3036 2.3323
1.3489 6.2559 6.3554
1.3489 10.3514 6.3554
4.4890 0.7202 1.5600
4.4890 4.8156 1.5600
4.4427 2.7679 5.5831
4.5079 8.3036 4.7166
1.3442 2.7679 7.6346
4.4938 8.3036 0.2808
0.9528 8.3036 4.8385
4.8851 2.7679 3.0770
```

As for the raw formation energy: -101.0 kJ/mol of atoms.

***

[7]
Density functional theory data (PBE) for a geometry-optimized Ba3Pb5O12 structure.

The structure in POSCAR format:
```
Ba3Pb5O12
1.0
-7.1903 7.1903 7.1903
7.1903 -7.1903 7.1903
7.1903 7.1903 -7.1903
Ba Pb O
12 20 48
Cartesian
3.5952 1.7976 0.0000
7.1903 3.5952 -1.7976
1.7976 0.0000 3.5952
8.9879 0.0000 3.5952
0.0000 3.5952 1.7976
3.5952 -1.7976 7.1903
3.5952 8.9879 0.0000
7.1903 3.5952 5.3928
-1.7976 7.1903 3.5952
5.3928 7.1903 3.5952
0.0000 3.5952 8.9879
3.5952 5.3928 7.1903
0.0000 0.0000 0.0000
3.5952 3.5952 -3.5952
3.5952 -3.5952 3.5952
7.1903 0.0000 0.0000
10.7855 1.7976 0.0000
7.1903 -3.5952 5.3928
5.3928 7.1903 -3.5952
5.3928 0.0000 3.5952
3.5952 5.3928 0.0000
7.1903 3.5952 1.7976
-3.5952 3.5952 3.5952
0.0000 7.1903 0.0000
0.0000 0.0000 7.1903
3.5952 3.5952 3.5952
0.0000 3.5952 5.3928
3.5952 1.7976 7.1903
1.7976 7.1903 3.5952
1.7976 0.0000 10.7855
0.0000 10.7855 1.7976
-3.5952 5.3928 7.1903
2.1018 -0.4055 0.7290
8.6837 4.3242 -4.0007
9.2922 0.4055 0.7290
8.6837 -2.8661 4.0007
6.7848 -0.7290 2.1018
11.1911 -1.4933 2.8661
0.7290 2.1018 -0.4055
10.0565 3.1896 -1.4933
4.3242 4.0007 -1.4933
6.4613 2.1018 0.4055
-0.4055 0.7290 2.1018
4.0007 -1.4933 4.3242
6.7848 6.4613 -2.1018
4.0007 1.4933 2.8661
4.3242 -4.0007 8.6837
6.4613 -2.1018 6.7848
2.8661 4.0007 1.4933
7.9194 5.0885 0.4055
4.0007 8.6837 -2.8661
6.7848 0.7290 5.0885
2.1018 6.7848 -0.7290
8.6837 2.8661 3.1896
1.4933 2.8661 4.0007
2.1018 0.4055 6.4613
5.0885 6.7848 0.7290
5.6970 4.3242 3.1896
-1.4933 4.3242 4.0007
5.0885 0.4055 7.9194
0.4055 6.4613 2.1018
3.1896 -1.4933 10.0565
-0.7290 2.1018 6.7848
4.3242 3.1896 5.6970
0.7290 9.2922 0.4055
2.8661 11.1911 -1.4933
3.1896 5.6970 4.3242
0.4055 0.7290 9.2922
3.1896 8.6837 2.8661
7.5959 6.4613 5.0885
0.7290 5.0885 6.7848
2.8661 3.1896 8.6837
-2.8661 4.0007 8.6837
6.4613 5.0885 7.5959
-4.0007 8.6837 4.3242
0.4055 7.9194 5.0885
-1.4933 10.0565 3.1896
-2.1018 6.7848 6.4613
-1.4933 2.8661 11.1911
5.0885 7.5959 6.4613
```

As for the raw formation energy: -142.6 kJ/mol of atoms.

***

[8]
Density functional theory data (PBE) for a geometry-optimized Ba5Pb2O structure.

The structure in POSCAR format:
```
Ba5Pb2O
1.0
10.0570 0.0000 0.0000
0.0000 7.7605 0.0000
0.0000 0.0000 16.4458
Ba Pb O
20 8 4
Cartesian
0.0000 0.0000 0.0000
0.0000 3.8802 0.0000
0.2790 1.9401 3.3907
1.5921 0.0106 9.9641
1.5921 3.8696 9.9641
2.1718 5.8204 6.0418
2.8567 1.9401 14.2647
3.4363 3.8908 1.7412
3.4363 7.7499 1.7412
4.7495 5.8204 11.6136
5.0285 0.0000 8.2229
5.0285 3.8802 8.2229
5.3075 1.9401 4.8322
6.6206 0.0106 14.7046
6.6206 3.8696 14.7046
7.2003 5.8204 2.1811
7.8852 1.9401 10.4040
8.4648 3.8908 6.4817
8.4648 7.7499 6.4817
9.7779 5.8204 13.0551
0.4419 5.8204 3.1171
1.7977 1.9401 6.8595
3.2308 5.8204 15.0824
4.5866 1.9401 11.3400
5.4704 5.8204 5.1058
6.8262 1.9401 1.3634
8.2593 5.8204 9.5863
9.6151 1.9401 13.3287
1.7219 1.9401 1.2246
3.3066 5.8204 9.4475
6.7504 1.9401 6.9983
8.3350 5.8204 15.2212
```

As for the raw formation energy: -93.3 kJ/mol of atoms. The value obtained for the energy relative to the lowest polymorph listed for this composition is 0.000 eV per formula unit.